(1)
Compound: SrLa3Os
Source: Alexandria via LeMat-Bulk
Functional: PBE
Structure: optimized geometry

It has space group C2/m (No. 12), with a = 11.000 Å, b = 6.290 Å, c = 10.898 Å, α = 90.00°, β = 99.98° and γ = 90.00°. The distinct sites, in fractional coordinates, are Sr at (0.176, 0.000, 0.070), La at (0.039, 0.500, 0.285), La at (0.113, 0.000, 0.698), La at (0.240, 0.000, 0.419) and Os at (0.000, 0.252, 0.500).

The calculation puts the density of states at the Fermi level at 26.5 states/eV per cell. The distance to the lowest polymorph of the same formula is 0.052 eV per atom. The value obtained for the volume is 185.7 Å³/f.u. The formation energy is -0.2 eV/f.u.

---

(2)
Compound: Ba2CdOs
Source: Alexandria via LeMat-Bulk
Functional: PBE
Structure: optimized geometry

It has space group Cm (No. 8), with a = 12.995 Å, b = 3.851 Å, c = 5.607 Å, α = 90.00°, β = 115.46° and γ = 90.00°. The distinct sites, in fractional coordinates, are Ba at (0.000, 0.000, 0.000), Ba at (0.190, 0.000, 0.690), Cd at (0.304, 0.500, 0.303) and Os at (0.472, 0.000, 0.473).

The calculation puts the density of states at the Fermi level at 4.4 states/eV per cell. The value obtained for the volume is 126.7 Å³/f.u. The formation energy is 1.8 eV/f.u.